VASP calculation (GGA+U) on crystalline CeGaMoO6 at its relaxed geometry.

Calculated values
DFT total energy ... -7.29 eV per atom
SG ... No. 102

abc: 4.823 4.823 9.771
angles: 90.00 90.00 90.00
Each line ends with the local moment (μB).
Sites, in units of the cell vectors:
1 O 0.785 0.215 0.182  -0.03
2 O 0.207 0.793 0.819  0.01
3 O 0.793 0.207 0.819  0.01
4 O 0.293 0.293 0.319  0.01
5 O 0.322 0.322 0.000  -0.01
6 O 0.285 0.285 0.682  -0.03
7 O 0.215 0.785 0.182  -0.03
8 O 0.178 0.822 0.500  -0.01
9 O 0.822 0.178 0.500  -0.01
10 O 0.678 0.678 0.000  -0.01
11 O 0.715 0.715 0.682  -0.03
12 O 0.707 0.707 0.319  0.01
13 Ce 0.000 0.000 0.997  0.09
14 Ce 0.500 0.500 0.497  0.09
15 Ga 0.500 0.500 0.833  0.03
16 Ga 0.000 0.000 0.333  0.03
17 Mo 0.500 0.500 0.167  0.93
18 Mo 0.000 0.000 0.667  0.93